A relaxed structure of AgBi2MoO6, computed with GGA+U.

Unit cell a=5.8526 b=5.9381 c=6.0309 alpha=61.53 beta=62.27 gamma=60.75
With the nearest neighbours (Å) after each atom.
Positions (direct):
Ag 0.0000 0.0000 0.0000  3 O 2.28-2.31
Bi 0.2470 0.2447 0.2713  6 O 2.31-2.50
Bi 0.7538 0.7371 0.7491  5 O 2.28-2.42
Mo 0.5422 0.5433 0.3724  4 O 1.86-2.05
O 0.1987 0.4475 0.5487  1 Mo 2.01
O 0.3915 0.8890 0.0902  1 Mo 2.05
O 0.4321 0.7946 0.5640  1 Mo 2.00
O 0.6252 0.3787 0.0818  1 Mo 2.15, 2 Bi 2.28-2.31, 1 Ag 2.31
O 0.7755 0.2266 0.5492  1 Mo 1.86
O 0.9086 0.6265 0.0954  1 Mo 2.13, 1 Ag 2.28, 2 Bi 2.34

Output
ρ   7.780 g/cm3
Raw total energy   -5.92 eV/atom
V   15.320 Å³/atom